This record from Alexandria describes Be2SiCl at its PBEsol-relaxed geometry. The functional is meta-GGA SCAN.

abc: 2.937 2.937 6.145
angles: 90.00 90.00 90.00
Positions (direct):
Be (0.000, 0.000, 0.711)
Be (0.000, 0.000, 0.289)
Si (0.500, 0.500, 0.500)
Cl (0.500, 0.000, 0.000)

Summary:
The final energy is -25.935 eV for the cell shown. The uncorrected formation energy comes out at 191 meV/atom. For the density, the calculation gives 2.56 g/cm3.